Material: Ce2ZnHg4
Method: DFT, PBE
State: relaxed

Results
calculated density = 10.8 Mg/m³
distance to the lowest polymorph of the same formula = 0 meV/atom
calculated volume = 354.19 Å³ per cell
formation energy from the elements = -0.23 eV/atom
crystal system = monoclinic

Lattice parameters (Å, degrees): 6.134 6.476 9.139 90.00 102.69 90.00
Space group P2_1/m (No. 11)
Inequivalent atoms, fractional coordinates:
Ce  0.136  0.250  0.415 x2
Ce  0.296  0.750  0.026 x2
Zn  0.108  0.250  0.790 x2
Hg  0.220  0.250  0.092 x2
Hg  0.287  0.750  0.403 x2
Hg  0.389  0.524  0.705 x4

***

Material: CuMoPb
Method: DFT, PBE
State: relaxed

Results
calculated density = 10.1 Mg/m³
distance to the lowest polymorph of the same formula = 179 meV/atom
calculated volume = 240.26 Å³ per cell
formation energy from the elements = 0.84 eV/atom
crystal system = cubic

Lattice parameters (Å, degrees): 6.217 6.217 6.217 90.00 90.00 90.00
Space group F-43m (No. 216)
Inequivalent atoms, fractional coordinates:
Cu  0.000  0.000  0.000 x4
Mo  0.250  0.250  0.750 x4
Pb  0.250  0.250  0.250 x4

***

Material: ErMgZn2
Method: DFT, PBE
State: relaxed

Results
calculated density = 6.6 Mg/m³
distance to the lowest polymorph of the same formula = 82 meV/atom
calculated volume = 81.53 Å³ per cell
formation energy from the elements = -0.24 eV/atom
crystal system = tetragonal

Lattice parameters (Å, degrees): 4.776 4.776 3.575 90.00 90.00 90.00
Space group P4/mmm (No. 123)
Inequivalent atoms, fractional coordinates:
Er  0.000  0.000  0.000 x1
Mg  0.500  0.500  0.000 x1
Zn  0.000  0.500  0.500 x2